Entry 1:
The following is a DFT calculation (PBE-GGA) of a relaxed structure of ErGa.

Properties
The space group is No. 187.

The structure in POSCAR format:
```
ErGa
1.0
-0.2268 -2.3780 -2.5215
-2.0354 -0.2424 2.8040
-3.1890 2.5269 -2.0963
Er Ga
1 1
direct
0.6667 0.3333 0.7500
0.3333 0.6667 0.2500
```

Entry 2:
The following is a DFT calculation (PBE-GGA) of a relaxed structure of ErGa2.

Properties
The space group is No. 227.

The structure in POSCAR format:
```
ErGa2
1.0
0.0000 3.8672 3.8672
3.8672 0.0000 3.8672
3.8672 3.8672 0.0000
Er Ga
2 4
direct
0.0000 0.0000 0.0000
0.2500 0.2500 0.2500
0.6250 0.6250 0.1250
0.6250 0.1250 0.6250
0.1250 0.6250 0.6250
0.6250 0.6250 0.6250
```

Entry 3:
The following is a DFT calculation (PBE-GGA) of a relaxed structure of ErGa2.

Properties
The space group is No. 191.

The structure in POSCAR format:
```
ErGa2
1.0
4.1988 0.0000 0.0000
-2.0995 3.6363 0.0000
0.0000 0.0000 4.0249
Er Ga
1 2
direct
0.0000 0.0000 0.0000
0.6667 0.3334 0.5000
0.3334 0.6667 0.5000
```

| no. | total DFT energy (no corrections) (eV/atom) |
| --- | --- |
| 1 | -4.10 |
| 2 | -4.08 |
| 3 | -4.15 |